4
Lattice="-1.4052 2.3884 4.1164 2.5214 -1.8570 3.8493 1.3102 1.9074 -4.3896" Properties=species:S:1:pos:R:3 comment="SbIrPt2 PBE relaxed" e_form_raw_ev_per_atom=0.03 total_magnetization_mub_per_fu=0.000 rho_g_cm3=17.4 pbc="T T T"
Ir 0.2104 2.2707 1.7044
Pt 0.0008 0.0004 0.0059
Pt 2.2142 0.1672 1.8591
Sb 0.5590 0.2661 3.9896

=====

10
Lattice="4.0732 0.0000 -1.1142 -0.7102 6.5632 -2.5965 0.1940 -0.2995 8.7115" Properties=species:S:1:pos:R:3 comment="La2CdC2 PBE relaxed" delta_e_f_ev_per_atom=-0.258 total_magnetization_mub_per_fu=0.000 rho_g_cm3=6.0 pbc="T T T"
La 1.5973 5.7427 3.0841
La 0.5500 2.4611 4.7659
La 1.9596 0.5209 1.9168
La 3.0069 3.8025 0.2350
Cd 0.2728 1.6408 -0.7723
Cd 3.0901 4.9224 -2.9383
C 1.1809 3.2327 2.1996
C 3.0987 6.3125 1.2082
C 2.3760 3.0309 2.8013
C 0.4582 -0.0489 3.7927

=====

7
Lattice="-3.8516 2.2360 -2.6843 -3.3126 -1.0682 3.8633 5.3381 6.6497 2.9163" Properties=species:S:1:pos:R:3 comment="Ca2Tb2Bi2S PBE relaxed" e_form_raw_ev_per_atom=-1.03 total_magnetization_mub_per_fu=0.001 rho_g_cm3=6.3 pbc="T T T"
Ca 0.6012 2.4767 1.2003
Ca -2.4273 5.3408 2.8950
Tb -1.6563 -0.5341 1.9316
Tb -1.9258 1.1180 -1.3421
Bi 1.2884 5.3074 2.5723
Bi -3.1145 2.5100 1.5230
S 0.0000 0.0000 0.0000

=====

7
Lattice="4.6186 0.0000 0.0000 0.0000 4.6186 0.0000 -2.3093 -2.3093 7.3005" Properties=species:S:1:pos:R:3 comment="Y4Pt2O PBE relaxed" e_form_raw_ev_per_atom=-1.52 total_magnetization_mub_per_fu=0.000 polymorph_energy_mev_per_atom=30 rho_g_cm3=8.1 pbc="T T T"
Y 2.3093 2.3093 4.6284
Y 0.0000 0.0000 2.6720
Y 0.0000 2.3093 0.0000
Y 2.3093 0.0000 0.0000
O 0.0000 0.0000 0.0000
Pt 2.3093 2.3093 1.8780
Pt 0.0000 0.0000 5.4225

=====

10
Lattice="-5.2781 3.7809 4.3335 -5.2335 -0.7190 -5.7469 -0.8924 -2.5417 1.1307" Properties=species:S:1:pos:R:3 comment="Re2SbW2 PBE relaxed" e_form_raw_ev_per_atom=0.51 total_magnetization_mub_per_fu=0.000 polymorph_energy_mev_per_atom=0 rho_g_cm3=16.1 pbc="T T T"
Re -4.5721 -1.1907 -2.5110
Re -8.3251 0.5467 -1.5675
Re -6.8318 1.7110 2.2283
Re -3.0788 -0.0265 1.2848
W -6.3635 0.7319 -3.3772
W -7.8884 2.7754 0.0130
W -4.1480 2.3300 1.9639
W -2.6231 0.2865 -1.4264
Sb 0.0000 0.0000 0.0000
Sb -5.2558 1.5310 -0.7067

=====

24
Lattice="4.0024 0.0000 0.0000 0.0000 11.9329 0.0000 0.0000 0.0000 11.4422" Properties=species:S:1:pos:R:3 comment="Pm3BeIr2 PBE relaxed" delta_e_f_ev_per_atom=-0.599 total_magnetization_mub_per_fu=0.000 rho_g_cm3=10.1 pbc="T T T"
Pm 1.0006 4.5305 0.7188
Pm 3.0018 7.4025 10.7234
Pm 3.0018 10.4970 5.0023
Pm 1.0006 1.4360 6.4399
Pm 1.0006 8.3328 2.2977
Pm 3.0018 3.6002 9.1446
Pm 3.0018 2.3663 3.4235
Pm 1.0006 9.5666 8.0188
Pm 1.0006 5.2980 4.2921
Pm 3.0018 6.6349 7.1501
Pm 3.0018 11.2645 1.4290
Pm 1.0006 0.6685 10.0133
Be 1.0006 1.5599 1.4448
Be 3.0018 10.3730 9.9974
Be 3.0018 7.5264 4.2763
Be 1.0006 4.4065 7.1659
Ir 1.0006 8.0991 5.2939
Ir 3.0018 3.8339 6.1483
Ir 3.0018 2.1326 0.4272
Ir 1.0006 9.8003 11.0150
Ir 1.0006 0.2976 3.5113
Ir 3.0018 11.6353 7.9310
Ir 3.0018 6.2641 2.2099
Ir 1.0006 5.6688 9.2324

=====

7
Lattice="4.0022 0.0000 1.0685 1.6597 5.8651 1.8131 -0.2595 0.1535 9.0015" Properties=species:S:1:pos:R:3 comment="Pr2I2Cl3 PBE relaxed" e_form_raw_ev_per_atom=-1.77 total_magnetization_mub_per_fu=0.000 rho_g_cm3=5.0 pbc="T T T"
Pr 1.9314 5.7017 8.8248
Pr 3.4710 0.3169 3.0583
I 1.3717 2.8027 2.8916
I 4.0306 3.2159 8.9916
Cl 2.0011 0.0000 0.5343
Cl 2.7476 4.9149 5.7676
Cl 2.6547 1.1037 6.1156

=====

16
Lattice="-3.0400 -2.5263 -3.0071 0.0318 -5.3879 4.4944 -7.8531 3.8665 4.6907" Properties=species:S:1:pos:R:3 comment="Tb3ThCu4 PBE relaxed" delta_e_f_ev_per_atom=-0.181 total_magnetization_mub_per_fu=0.001 rho_g_cm3=9.2 pbc="T T T"
Tb 0.0000 0.0000 0.0000
Tb -3.9266 1.9332 2.3453
Tb -7.4116 1.6352 2.0127
Tb -3.4814 -0.2950 -0.3291
Tb -7.3956 -1.0586 4.2601
Tb -3.4657 -2.9891 1.9180
Cu -1.4960 -5.3260 1.8856
Cu -5.4226 -3.3928 4.2309
Cu -1.5122 -2.5882 -0.3982
Cu -5.4387 -0.6550 1.9472
Cu -5.8688 -1.1682 6.9064
Cu -4.9762 -5.6228 1.5599
Cu -4.9924 -2.8796 -0.7283
Cu -5.8850 1.5750 4.6181
Th 0.0159 -2.6940 2.2472
Th -3.9107 -0.7607 4.5926